Arrangement A

Below is a relaxed CdHgPb2 crystal, with properties calculated at the PBEsol level.

Properties
Volume (Å³/cell): 105.26
Space-group type: No. 10

Unit cell a=3.3603 b=5.3308 c=5.8972 alpha=90.00 beta=94.87 gamma=90.00
With the nearest neighbours (Å) after each atom.
Sites, in units of the cell vectors:
Pb 0.7482 0.0000 0.7513  2 Cd 3.19, 2 Hg 3.20, 6 Pb 3.26-3.54
Pb 0.2518 0.0000 0.2487  2 Cd 3.19, 2 Hg 3.20, 6 Pb 3.26-3.54
Hg 0.0000 0.5000 0.5000  4 Pb 3.20, 4 Cd 3.27-3.52, 2 Hg 3.36
Cd 0.5000 0.5000 0.0000  4 Pb 3.19, 4 Hg 3.27-3.52, 2 Cd 3.36

***

Arrangement B

Below is a relaxed CdHgPb2 crystal, with properties calculated at the PBEsol level.

Properties
Volume (Å³/cell): 103.06
Space-group type: No. 139

Unit cell a=4.7823 b=4.7823 c=5.6339 alpha=115.11 beta=115.11 gamma=90.00
With the nearest neighbours (Å) after each atom.
Sites, in units of the cell vectors:
Pb 0.7500 0.2500 0.5000  4 Cd 3.29, 4 Hg 3.29, 4 Pb 3.38
Pb 0.2500 0.7500 0.5000  4 Cd 3.29, 4 Hg 3.29, 4 Pb 3.38
Hg 0.0000 0.0000 0.0000  8 Pb 3.29, 4 Cd 3.38
Cd 0.5000 0.5000 0.0000  8 Pb 3.29, 4 Hg 3.38

***

Arrangement C

Below is a relaxed CdHgPb2 crystal, with properties calculated at the PBEsol level.

Properties
Volume (Å³/cell): 104.78
Space-group type: No. 216

Unit cell a=5.2917 b=5.2917 c=5.2917 alpha=60.00 beta=60.00 gamma=60.00
With the nearest neighbours (Å) after each atom.
Sites, in units of the cell vectors:
Pb 0.0000 0.0000 0.0000  4 Hg 3.24, 4 Pb 3.24
Pb 0.7500 0.7500 0.7500  4 Cd 3.24, 4 Pb 3.24
Hg 0.2500 0.2500 0.2500  4 Pb 3.24, 4 Cd 3.24
Cd 0.5000 0.5000 0.5000  4 Hg 3.24, 4 Pb 3.24

***

Arrangement D

Below is a relaxed CdHgPb2 crystal, with properties calculated at the PBEsol level.

Properties
Volume (Å³/cell): 104.81
Space-group type: No. 166

Unit cell a=3.4195 b=3.4195 c=10.5369 alpha=80.66 beta=80.66 gamma=60.00
With the nearest neighbours (Å) after each atom.
Sites, in units of the cell vectors:
Pb 0.2496 0.2496 0.2513  3 Cd 3.24, 3 Hg 3.27, 6 Pb 3.42
Pb 0.7504 0.7504 0.7487  3 Cd 3.24, 3 Hg 3.27, 6 Pb 3.42
Hg 0.0000 0.0000 0.0000  6 Pb 3.27, 6 Hg 3.42
Cd 0.5000 0.5000 0.5000  6 Pb 3.24, 6 Cd 3.42

***

Energies relative to the minimum, eV/atom: arrangement A 0.021; arrangement B 0.000; arrangement C 0.016; arrangement D 0.010

***

Arrangement A

Below is a relaxed CdHgPb2 crystal, with properties calculated at the PBEsol level.

Properties
Volume (Å³/cell): 103.78
Space-group type: No. 123

Unit cell a=3.3329 b=3.3329 c=9.3424 alpha=90.00 beta=90.00 gamma=90.00
With the nearest neighbours (Å) after each atom.
Sites, in units of the cell vectors:
Pb 0.0000 0.0000 0.7555  4 Cd 3.28, 4 Pb 3.33, 4 Hg 3.35
Pb 0.0000 0.0000 0.2445  4 Cd 3.28, 4 Pb 3.33, 4 Hg 3.35
Hg 0.5000 0.5000 0.5000  4 Hg 3.33, 8 Pb 3.35
Cd 0.5000 0.5000 0.0000  8 Pb 3.28, 4 Cd 3.33

***

Arrangement B

Below is a relaxed CdHgPb2 crystal, with properties calculated at the PBEsol level.

Properties
Volume (Å³/cell): 105.92
Space-group type: No. 35

Unit cell a=3.3449 b=3.3449 c=10.4763 alpha=90.00 beta=90.00 gamma=115.36
With the nearest neighbours (Å) after each atom.
Sites, in units of the cell vectors:
Pb 0.0000 0.0000 0.0158  2 Hg 3.16, 6 Pb 3.34-3.46
Pb 0.5000 0.5000 0.7335  2 Cd 3.15, 6 Pb 3.34-3.46
Hg 0.5000 0.5000 0.2649  2 Cd 2.92, 2 Pb 3.16
Cd 0.0000 0.0000 0.4858  2 Hg 2.92, 2 Pb 3.15

***

Arrangement C

Below is a relaxed CdHgPb2 crystal, with properties calculated at the PBEsol level.

Properties
Volume (Å³/cell): 105.90
Space-group type: No. 65

Unit cell a=3.3248 b=3.3248 c=10.8129 alpha=90.00 beta=90.00 gamma=117.62
With the nearest neighbours (Å) after each atom.
Sites, in units of the cell vectors:
Pb 0.0000 0.0000 0.2546  2 Cd 3.16, 2 Hg 3.25, 6 Pb 3.32-3.44
Pb 0.0000 0.0000 0.7454  2 Cd 3.16, 2 Hg 3.25, 6 Pb 3.32-3.44
Hg 0.5000 0.5000 0.0000  4 Pb 3.25, 6 Hg 3.32-3.44
Cd 0.5000 0.5000 0.5000  4 Pb 3.16, 6 Cd 3.32-3.44

***

Arrangement D

Below is a relaxed CdHgPb2 crystal, with properties calculated at the PBEsol level.

Properties
Volume (Å³/cell): 103.99
Space-group type: No. 225

Unit cell a=5.2784 b=5.2784 c=5.2784 alpha=60.00 beta=60.00 gamma=60.00
With the nearest neighbours (Å) after each atom.
Sites, in units of the cell vectors:
Pb 0.2500 0.2500 0.2500  4 Hg 3.23, 4 Cd 3.23
Pb 0.7500 0.7500 0.7500  4 Cd 3.23, 4 Hg 3.23
Hg 0.5000 0.5000 0.5000  8 Pb 3.23
Cd 0.0000 0.0000 0.0000  8 Pb 3.23

***

Energies relative to the minimum, eV/atom: arrangement A 0.000; arrangement B 0.012; arrangement C 0.024; arrangement D 0.019

***

Arrangement A

Below is a relaxed CdHgPb2 crystal, with properties calculated at the PBEsol level.

Properties
Volume (Å³/cell): 103.91
Space-group type: No. 44

Unit cell a=3.5288 b=5.4865 c=6.2806 alpha=115.90 beta=106.32 gamma=90.00
With the nearest neighbours (Å) after each atom.
Sites, in units of the cell vectors:
Pb 0.9875 0.9875 0.9749  2 Hg 3.24, 4 Cd 3.27, 4 Pb 3.45-3.53
Pb 0.7638 0.2638 0.5277  2 Cd 3.21, 4 Hg 3.28, 4 Pb 3.45-3.53
Hg 0.2347 0.7347 0.4693  2 Cd 2.95, 6 Pb 3.24-3.28
Cd 0.5140 0.5140 0.0281  2 Hg 2.95, 6 Pb 3.21-3.27

***

Arrangement B

Below is a relaxed CdHgPb2 crystal, with properties calculated at the PBEsol level.

Properties
Volume (Å³/cell): 105.24
Space-group type: No. 71

Unit cell a=3.5804 b=5.5142 c=6.2628 alpha=116.12 beta=106.61 gamma=90.00
With the nearest neighbours (Å) after each atom.
Sites, in units of the cell vectors:
Pb 0.7507 0.7507 0.5015  2 Cd 3.20, 2 Hg 3.22, 6 Pb 3.29-3.58
Pb 0.2493 0.2493 0.4985  2 Cd 3.20, 2 Hg 3.22, 6 Pb 3.29-3.58
Hg 0.0000 0.5000 0.0000  4 Pb 3.22, 4 Cd 3.29, 2 Hg 3.58
Cd 0.5000 0.0000 0.0000  4 Pb 3.20, 4 Hg 3.29, 2 Cd 3.58

***

Energies relative to the minimum, eV/atom: arrangement A 0.000; arrangement B 0.027